# 1
This record from OQMD describes crystalline NdGd2HoIn2 at its relaxed geometry. The functional is PBE.

```
6
Lattice="-1.2435 4.5257 2.7602 0.0299 -4.8162 2.5398 6.5693 0.8589 1.5513" Properties=species:S:1:pos:R:3 pbc="T T T"
In 3.2847 0.4294 0.7756
Gd 4.5718 -1.0529 3.7861
Ho 0.0000 0.0000 0.0000
In -0.8190 1.4118 2.6867
Gd 1.2084 -1.4927 2.9918
Nd 2.4656 1.8412 3.4624
```

Raw total energy ... -4.3682 eV per atom
SG ... P-6m2

=====

# 2
This record from OQMD describes crystalline GdHo2In3Ni3 at its relaxed geometry. The functional is PBE.

```
9
Lattice="3.8078 0.0000 0.0000 0.0000 6.4367 3.7177 0.0000 -6.4367 3.7177" Properties=species:S:1:pos:R:3 pbc="T T T"
Ho 0.0000 -3.7958 5.2422
In 1.9039 4.7916 2.7787
In 1.9039 -4.7916 2.7787
Ni 1.9039 2.1580 3.7159
Ni 0.0000 0.0000 0.0069
Ni 1.9039 -2.1580 3.7159
Gd 0.0000 0.0000 4.3809
Ho 0.0000 3.7958 5.2422
In 1.9039 0.0000 1.8806
```

Raw total energy ... -4.8139 eV per atom
SG ... Amm2

=====

# 3
This record from OQMD describes crystalline GdHoIn2Pd4 at its relaxed geometry. The functional is PBE.

```
8
Lattice="4.6037 0.0000 0.0000 -2.3018 3.9869 0.0000 0.0000 0.0000 8.9208" Properties=species:S:1:pos:R:3 pbc="T T T"
Pd 0.0000 0.0000 5.8971
Ho 0.0000 2.6579 4.4604
Pd 0.0000 2.6579 1.4703
In 2.3018 1.3290 6.6720
Pd 0.0000 2.6579 7.4506
Pd 0.0000 0.0000 3.0237
In 2.3018 1.3290 2.2489
Gd 0.0000 0.0000 0.0000
```

Raw total energy ... -5.2484 eV per atom
SG ... P-6m2

=====

# 4
This record from OQMD describes crystalline GdHo2In3PdPt2 at its relaxed geometry. The functional is PBE.

```
9
Lattice="3.8336 0.0000 0.0000 0.0000 6.6927 3.8476 0.0000 -6.6927 3.8476" Properties=species:S:1:pos:R:3 pbc="T T T"
In 1.9168 -4.9566 4.8384
Ho 0.0000 2.7438 6.1153
Ho 0.0000 -2.7438 6.1153
In 1.9168 4.9566 4.8384
Pt 1.9168 -2.2484 3.8533
Pd 0.0000 0.0000 7.6896
Pt 1.9168 2.2484 3.8533
In 1.9168 0.0000 5.7114
Gd 0.0000 0.0000 3.1560
```

Raw total energy ... -5.3259 eV per atom
SG ... Amm2

=====

# 5
This record from OQMD describes crystalline GdHoIn2Pt4 at its relaxed geometry. The functional is PBE.

```
8
Lattice="4.5830 0.0000 0.0000 -2.2915 3.9690 0.0000 0.0000 0.0000 9.0495" Properties=species:S:1:pos:R:3 pbc="T T T"
In 0.0000 0.0000 6.7754
Pt 0.0000 2.6460 7.5997
Pt 0.0000 2.6460 1.4499
Pt 2.2915 1.3230 5.9383
In 0.0000 0.0000 2.2741
Gd 2.2915 1.3230 0.0000
Ho 0.0000 2.6460 4.5248
Pt 2.2915 1.3230 3.1112
```

Raw total energy ... -5.8318 eV per atom
SG ... P-6m2

=====

# 6
This record from OQMD describes crystalline GdHo2ScIn2 at its relaxed geometry. The functional is PBE.

```
6
Lattice="-3.0341 -2.0537 -3.8042 0.7470 -2.6553 4.5041 -5.3243 2.9781 2.6387" Properties=species:S:1:pos:R:3 pbc="T T T"
In -3.1755 -0.9657 3.0540
In 0.0000 0.0000 0.0000
Sc -0.5133 -2.4548 1.7346
Gd -2.6622 1.4890 1.3194
Ho -5.8198 0.0089 0.9705
Ho -3.0520 -1.5393 -0.4013
```

Raw total energy ... -4.6199 eV per atom
SG ... P-6m2

=====

# 7
This record from OQMD describes crystalline Gd2HoScIn2 at its relaxed geometry. The functional is PBE.

```
6
Lattice="5.3033 0.0000 0.0000 -2.6516 4.5928 0.0000 0.0000 0.0000 6.6952" Properties=species:S:1:pos:R:3 pbc="T T T"
Sc 0.0000 0.0000 3.3476
Gd 0.0000 3.0619 1.7268
In 0.0000 0.0000 0.0000
In 2.6517 1.5309 3.3476
Ho 2.6517 1.5309 0.0000
Gd 0.0000 3.0619 4.9684
```

Raw total energy ... -4.6375 eV per atom
SG ... P-6m2

=====

# 8
This record from OQMD describes crystalline Sm2GdHoIn2 at its relaxed geometry. The functional is PBE.

```
6
Lattice="-4.1491 -3.3969 -0.9553 4.5542 -1.8547 2.3422 -2.5726 1.4194 6.1261" Properties=species:S:1:pos:R:3 pbc="T T T"
In -1.8906 -2.5283 1.6741
Sm 1.0107 -2.0143 2.7728
In -0.2769 -1.3039 5.8389
Gd -1.2863 0.7097 3.0630
Ho 0.0000 0.0000 0.0000
Sm -3.1782 -1.8179 4.7402
```

Raw total energy ... -4.3732 eV per atom
SG ... P-3m1

=====

# 9
This record from OQMD describes crystalline SmGdHo2In2 at its relaxed geometry. The functional is PBE.

```
6
Lattice="5.4072 0.0000 0.0000 -2.7036 4.6828 0.0000 0.0000 0.0000 6.7564" Properties=species:S:1:pos:R:3 pbc="T T T"
Ho 2.7036 1.5609 5.0628
Sm 0.0000 3.1219 0.0000
In 0.0000 3.1219 3.3782
Ho 2.7036 1.5609 1.6936
Gd 0.0000 0.0000 3.3782
In 0.0000 0.0000 0.0000
```

Raw total energy ... -4.3508 eV per atom
SG ... P-6m2

=====

# 10
This record from OQMD describes crystalline GdHoZn2In2 at its relaxed geometry. The functional is PBE.

```
6
Lattice="4.6586 0.0000 0.0000 -2.3293 4.0345 0.0000 0.0000 0.0000 7.3223" Properties=species:S:1:pos:R:3 pbc="T T T"
Gd 0.0000 0.0000 0.1557
In 2.3293 1.3448 5.8166
Zn 2.3293 1.3448 1.6000
In 0.0000 2.6897 2.1891
Zn 0.0000 2.6897 5.2372
Ho 0.0000 0.0000 3.8201
```

Raw total energy ... -3.3415 eV per atom
SG ... P3m1

=====

# 11
This record from OQMD describes crystalline Gd2HoNiIr2Pb3 at its relaxed geometry. The functional is PBE.

```
9
Lattice="3.7827 0.0000 0.0000 0.0000 6.7194 3.8878 0.0000 -6.7194 3.8878" Properties=species:S:1:pos:R:3 pbc="T T T"
Gd 0.0000 2.7507 1.5915
Ir 1.8913 -2.2170 3.8950
Gd 0.0000 -2.7507 1.5915
Ir 1.8913 2.2170 3.8950
Pb 1.8913 1.7207 6.7765
Ho 0.0000 0.0000 4.5913
Pb 1.8913 0.0000 1.9954
Pb 1.8913 -1.7207 6.7765
Ni 0.0000 0.0000 7.7641
```

Raw total energy ... -5.9130 eV per atom
SG ... Amm2

=====

# 12
This record from OQMD describes crystalline GdHo2NiIr2Pb3 at its relaxed geometry. The functional is PBE.

```
9
Lattice="3.7744 0.0000 0.0000 0.0000 6.7239 3.8700 0.0000 -6.7239 3.8700" Properties=species:S:1:pos:R:3 pbc="T T T"
Gd 0.0000 0.0000 3.1577
Ir 1.8872 2.2578 3.8745
Pb 1.8872 0.0000 5.7502
Ir 1.8872 -2.2578 3.8745
Pb 1.8872 -4.9859 4.8634
Ni 0.0000 0.0000 7.7335
Pb 1.8872 4.9859 4.8634
Ho 0.0000 3.9806 2.2911
Ho 0.0000 -3.9806 2.2911
```

Raw total energy ... -5.9053 eV per atom
SG ... Amm2